# 1
Density functional theory data (PBE-GGA) for a relaxed structure of NbGa2Ni7P2.

## Properties
**Formation energy from the elements**: -0.2191 eV per atom
**Magnetic moment**: 0.0 μB/f.u.

Cell and atoms, written as CIF:
```
data_NbGa2Ni7P2
_chemical_formula_sum 'Nb2 Ga4 Ni14 P4'
_cell_length_a 5.194
_cell_length_b 5.191
_cell_length_c 11.745
_cell_angle_alpha 90.00
_cell_angle_beta 98.37
_cell_angle_gamma 90.00
_symmetry_space_group_name_H-M 'C 1 2/m 1'
_symmetry_Int_Tables_number 12
_symmetry_space_group_name_Hall '-C 2y'
loop_
_atom_site_label
_atom_site_type_symbol
_atom_site_fract_x
_atom_site_fract_y
_atom_site_fract_z
Nb1 Nb 0.000 0.000 0.000
Ga1 Ga 0.117 0.000 0.344
Ni1 Ni 0.000 0.500 0.000
Ni2 Ni 0.198 0.251 0.839
Ni3 Ni 0.230 0.500 0.459
P1 P 0.093 0.500 0.276
```

# 2
Density functional theory data (PBE-GGA) for a relaxed structure of KFe2Te.

## Properties
**Formation energy (no corrections)**: 0.344 eV/atom
**Magnetic moment**: 5.5 μB/f.u.

Cell and atoms, written as CIF:
```
data_KFe2Te
_chemical_formula_sum 'K1 Fe2 Te1'
_cell_length_a 3.358
_cell_length_b 3.358
_cell_length_c 7.952
_cell_angle_alpha 90.00
_cell_angle_beta 90.00
_cell_angle_gamma 90.00
_symmetry_space_group_name_H-M 'P 4 m m'
_symmetry_Int_Tables_number 99
_symmetry_space_group_name_Hall 'P 4 -2'
loop_
_atom_site_label
_atom_site_type_symbol
_atom_site_fract_x
_atom_site_fract_y
_atom_site_fract_z
K1 K 0.000 0.000 0.000
Fe1 Fe 0.000 0.000 0.556
Fe2 Fe 0.500 0.500 0.667
Te1 Te 0.500 0.500 0.342
```

# 3
Density functional theory data (PBE-GGA) for a relaxed structure of Ge3Te6As2.

## Properties
**Formation energy (no corrections)**: -0.058 eV/atom
**Magnetic moment**: 0.0 μB/f.u.

Cell and atoms, written as CIF:
```
data_Ge3Te6As2
_chemical_formula_sum 'Ge9 Te18 As6'
_cell_length_a 4.1672
_cell_length_b 4.1672
_cell_length_c 63.3455
_cell_angle_alpha 90.00
_cell_angle_beta 90.00
_cell_angle_gamma 120.00
_symmetry_space_group_name_H-M 'R -3 m'
_symmetry_Int_Tables_number 166
_symmetry_space_group_name_Hall '-R 3 2"'
loop_
_atom_site_label
_atom_site_type_symbol
_atom_site_fract_x
_atom_site_fract_y
_atom_site_fract_z
Ge1 Ge 0.0000 0.0000 0.0000
Ge2 Ge 0.0000 0.0000 0.2766
Te1 Te 0.0000 0.0000 0.0831
Te2 Te 0.0000 0.0000 0.1964
Te3 Te 0.0000 0.0000 0.3610
As1 As 0.0000 0.0000 0.4467
```

# 4
Density functional theory data (PBE-GGA) for a relaxed structure of YBiHRh2.

## Properties
**Magnetic moment**: 0.0 μB/f.u.
**DFT total energy**: -6.04 eV/atom

Cell and atoms, written as CIF:
```
data_YBiHRh2
_chemical_formula_sum 'Y1 Bi1 H1 Rh2'
_cell_length_a 4.318
_cell_length_b 4.318
_cell_length_c 4.349
_cell_angle_alpha 90.00
_cell_angle_beta 90.00
_cell_angle_gamma 90.00
_symmetry_space_group_name_H-M 'P 4/m m m'
_symmetry_Int_Tables_number 123
_symmetry_space_group_name_Hall '-P 4 2'
loop_
_atom_site_label
_atom_site_type_symbol
_atom_site_fract_x
_atom_site_fract_y
_atom_site_fract_z
Y1 Y 0.000 0.000 0.000
Bi1 Bi 0.500 0.500 0.000
H1 H 0.000 0.000 0.500
Rh1 Rh 0.000 0.500 0.500
```

# 5
Density functional theory data (PBE-GGA) for a relaxed structure of RbTbSnSe3.

## Properties
**Formation energy (no corrections)**: -1.186 eV/atom
**Magnetic moment**: 0.0 μB/f.u.

Cell and atoms, written as CIF:
```
data_RbTbSnSe3
_chemical_formula_sum 'Rb4 Tb4 Sn4 Se12'
_cell_length_a 4.150
_cell_length_b 17.370
_cell_length_c 11.937
_cell_angle_alpha 90.00
_cell_angle_beta 90.00
_cell_angle_gamma 90.00
_symmetry_space_group_name_H-M 'C m c m'
_symmetry_Int_Tables_number 63
_symmetry_space_group_name_Hall '-C 2c 2'
loop_
_atom_site_label
_atom_site_type_symbol
_atom_site_fract_x
_atom_site_fract_y
_atom_site_fract_z
Rb1 Rb 0.000 0.188 0.250
Tb1 Tb 0.000 0.500 0.000
Sn1 Sn 0.000 0.112 0.750
Se1 Se 0.000 0.113 0.505
Se2 Se 0.000 0.495 0.250
```

# 6
Density functional theory data (PBE-GGA) for a relaxed structure of La3Pt7Rh2.

## Properties
**Formation energy from the elements**: -0.8800 eV per atom
**Magnetic moment**: 0.0 μB/f.u.

Cell and atoms, written as CIF:
```
data_La3Pt7Rh2
_chemical_formula_sum 'La9 Pt21 Rh6'
_cell_length_a 5.4717
_cell_length_b 5.4717
_cell_length_c 26.8977
_cell_angle_alpha 90.00
_cell_angle_beta 90.00
_cell_angle_gamma 120.00
_symmetry_space_group_name_H-M 'R -3 m'
_symmetry_Int_Tables_number 166
_symmetry_space_group_name_Hall '-R 3 2"'
loop_
_atom_site_label
_atom_site_type_symbol
_atom_site_fract_x
_atom_site_fract_y
_atom_site_fract_z
La1 La 0.0000 0.0000 0.0000
La2 La 0.0000 0.0000 0.1388
Pt1 Pt 0.0000 0.0000 0.5000
Pt2 Pt 0.0029 0.5014 0.9177
Rh1 Rh 0.0000 0.0000 0.3321
```

# 7
Density functional theory data (PBE-GGA) for a relaxed structure of CoPdCl4.

## Properties
**Formation energy (no corrections)**: -0.470 eV/atom
**Magnetic moment**: 3.0 μB/f.u.

Cell and atoms, written as CIF:
```
data_CoPdCl4
_chemical_formula_sum 'Co4 Pd4 Cl16'
_cell_length_a 6.861
_cell_length_b 15.185
_cell_length_c 6.546
_cell_angle_alpha 90.00
_cell_angle_beta 115.77
_cell_angle_gamma 90.00
_symmetry_space_group_name_H-M 'C 1 2/c 1'
_symmetry_Int_Tables_number 15
_symmetry_space_group_name_Hall '-C 2yc'
loop_
_atom_site_label
_atom_site_type_symbol
_atom_site_fract_x
_atom_site_fract_y
_atom_site_fract_z
Co1 Co 0.000 0.066 0.250
Pd1 Pd 0.000 0.442 0.750
Cl1 Cl 0.228 0.048 0.667
Cl2 Cl 0.238 0.163 0.201
```

# 8
Density functional theory data (PBE-GGA) for a relaxed structure of BaSc2Mn.

## Properties
**Formation energy from the elements**: 0.5626 eV per atom
**Magnetic moment**: 2.5 μB/f.u.

Cell and atoms, written as CIF:
```
data_BaSc2Mn
_chemical_formula_sum 'Ba1 Sc2 Mn1'
_cell_length_a 4.308
_cell_length_b 4.899
_cell_length_c 5.121
_cell_angle_alpha 90.00
_cell_angle_beta 90.00
_cell_angle_gamma 90.00
_symmetry_space_group_name_H-M 'P m m m'
_symmetry_Int_Tables_number 47
_symmetry_space_group_name_Hall '-P 2 2'
loop_
_atom_site_label
_atom_site_type_symbol
_atom_site_fract_x
_atom_site_fract_y
_atom_site_fract_z
Ba1 Ba 0.000 0.000 0.000
Sc1 Sc 0.000 0.500 0.500
Sc2 Sc 0.500 0.000 0.500
Mn1 Mn 0.500 0.500 0.000
```

# 9
Density functional theory data (PBE-GGA) for a relaxed structure of Ba2CrCdN.

## Properties
**Formation energy (no corrections)**: -0.282 eV/atom
**Magnetic moment**: 2.6 μB/f.u.

Cell and atoms, written as CIF:
```
data_Ba2CrCdN
_chemical_formula_sum 'Ba2 Cr1 Cd1 N1'
_cell_length_a 6.016
_cell_length_b 6.016
_cell_length_c 3.819
_cell_angle_alpha 90.00
_cell_angle_beta 90.00
_cell_angle_gamma 90.00
_symmetry_space_group_name_H-M 'P 4/m m m'
_symmetry_Int_Tables_number 123
_symmetry_space_group_name_Hall '-P 4 2'
loop_
_atom_site_label
_atom_site_type_symbol
_atom_site_fract_x
_atom_site_fract_y
_atom_site_fract_z
Ba1 Ba 0.000 0.500 0.000
Cr1 Cr 0.000 0.000 0.500
Cd1 Cd 0.500 0.500 0.500
N1 N 0.000 0.000 0.000
```

# 10
Density functional theory data (PBE-GGA) for a relaxed structure of TbCe2Os.

## Properties
**Formation energy from the elements**: 0.0375 eV per atom
**Magnetic moment**: 0.0 μB/f.u.

Cell and atoms, written as CIF:
```
data_TbCe2Os
_chemical_formula_sum 'Tb3 Ce6 Os3'
_cell_length_a 3.9591
_cell_length_b 3.9591
_cell_length_c 25.9412
_cell_angle_alpha 90.00
_cell_angle_beta 90.00
_cell_angle_gamma 120.00
_symmetry_space_group_name_H-M 'R 3 m'
_symmetry_Int_Tables_number 160
_symmetry_space_group_name_Hall 'R 3 -2"'
loop_
_atom_site_label
_atom_site_type_symbol
_atom_site_fract_x
_atom_site_fract_y
_atom_site_fract_z
Tb1 Tb 0.0000 0.0000 0.0000
Ce1 Ce 0.0000 0.0000 0.5585
Ce2 Ce 0.0000 0.0000 0.7726
Os1 Os 0.0000 0.0000 0.1648
```

# 11
Density functional theory data (PBE-GGA) for a relaxed structure of U3PaSe6.

## Properties
**Formation energy (no corrections)**: -1.051 eV/atom
**Magnetic moment**: 11.0 μB/f.u.

Cell and atoms, written as CIF:
```
data_U3PaSe6
_chemical_formula_sum 'U12 Pa4 Se24'
_cell_length_a 10.976
_cell_length_b 13.694
_cell_length_c 7.120
_cell_angle_alpha 90.00
_cell_angle_beta 90.00
_cell_angle_gamma 90.00
_symmetry_space_group_name_H-M 'C m c 21'
_symmetry_Int_Tables_number 36
_symmetry_space_group_name_Hall 'C 2c -2'
loop_
_atom_site_label
_atom_site_type_symbol
_atom_site_fract_x
_atom_site_fract_y
_atom_site_fract_z
U1 U 0.000 0.092 0.000
U2 U 0.180 0.399 0.882
Pa1 Pa 0.000 0.336 0.382
Se1 Se 0.000 0.258 0.743
Se2 Se 0.000 0.496 0.127
Se3 Se 0.166 0.039 0.695
Se4 Se 0.174 0.234 0.162
```

# 12
Density functional theory data (PBE-GGA) for a relaxed structure of LiInB2W.

## Properties
**Formation energy from the elements**: 2.2839 eV per atom
**Magnetic moment**: 0.0 μB/f.u.

Cell and atoms, written as CIF:
```
data_LiInB2W
_chemical_formula_sum 'Li1 In1 B2 W1'
_cell_length_a 4.258
_cell_length_b 4.258
_cell_length_c 4.175
_cell_angle_alpha 90.00
_cell_angle_beta 90.00
_cell_angle_gamma 90.00
_symmetry_space_group_name_H-M 'P 4/m m m'
_symmetry_Int_Tables_number 123
_symmetry_space_group_name_Hall '-P 4 2'
loop_
_atom_site_label
_atom_site_type_symbol
_atom_site_fract_x
_atom_site_fract_y
_atom_site_fract_z
Li1 Li 0.000 0.000 0.000
In1 In 0.000 0.000 0.500
B1 B 0.000 0.500 0.500
W1 W 0.500 0.500 0.000
```